Here is a relaxed structure of FeAgBr2 from Alexandria. Energies are from PBEsol.

POSCAR file:
```
FeAgBr2
1.0
3.454 0.000 0.000
0.000 3.454 0.000
0.000 0.000 6.996
Fe Ag Br
1 1 2
direct
0.000 0.000 0.000
0.500 0.500 0.195
0.000 0.000 0.381
0.500 0.500 0.802
```

Computed properties:
V   20.9 A^3/atom
Crystal system   tetragonal
Energy above the lowest structure with this stoichiometry   0 meV per atom
Total magnetization   3.1 μB/cell
Space-group type   P4mm, No. 99
D(E_F)   2.29 states/eV per cell